No. 1
A plane-wave DFT calculation with PBE was carried out for a relaxed Ba2HCl2 crystal.

Unit cell a=5.858 b=5.858 c=6.556 alpha=63.46 beta=63.46 gamma=90.00
Atoms (fractional coordinates):
Cl 0.336 0.336 0.328
H 0.000 0.000 0.000
Cl 0.664 0.664 0.672
Ba 0.250 0.750 0.500
Ba 0.750 0.250 0.500

Properties
E_tot   -3.408 eV/atom
Size of the total moment   0.0 μB/f.u.
ρ   3.300 g/cm3



No. 2
A plane-wave DFT calculation with PBE was carried out for a relaxed TlAgGe crystal.

Unit cell a=7.719 b=3.354 c=5.920 alpha=89.89 beta=67.13 gamma=103.00
Atoms (fractional coordinates):
Ge 0.662 0.146 0.912
Tl 0.047 0.836 0.497
Ag 0.433 0.527 0.301
Ge 0.655 0.139 0.472
Ag 0.884 0.758 0.083
Tl 0.270 0.449 0.887

Properties
E_tot   -3.077 eV/atom
Size of the total moment   0.0 μB/f.u.
ρ   9.335 g/cm3



No. 3
A plane-wave DFT calculation with PBE was carried out for a relaxed Ca2SiSb crystal.

Unit cell a=5.309 b=5.309 c=5.309 alpha=60.00 beta=60.00 gamma=60.00
Atoms (fractional coordinates):
Si 0.000 0.000 0.000
Sb 0.500 0.500 0.500
Ca 0.750 0.750 0.750
Ca 0.250 0.250 0.250

Properties
ΔE_f (raw)   -0.45 eV per atom
Size of the total moment   0.0 μB/f.u.
ρ   3.610 g/cm3